1.
DFT (GGA-PBEsol) results for a relaxed structure of KLaPdO3.

Formation energy (no corrections): -2.012 eV per atom
Theoretical density: 5.86 g/cm³
Crystal system: monoclinic
Total magnetization: 0.00 μB/f.u.

Cell lengths 3.9499, 6.9472, 7.4390 Å; angles 104.88, 90.00, 106.52 degrees
Last column: nearest neighbours and their distance in Å.
Positions (direct):
1 O 0.5073 0.0147 0.8065  2 Pd 1.99
2 O 0.1664 0.3328 0.8622  1 Pd 2.05
3 O 0.4927 0.9853 0.1935  2 Pd 1.99
4 O 0.1510 0.3021 0.2861  1 Pd 2.03
5 O 0.8490 0.6979 0.7139  1 Pd 2.03
6 O 0.8336 0.6672 0.1378  1 Pd 2.05
7 Pd 0.0067 0.0133 0.7734  4 O 1.99-2.05
8 Pd 0.9933 0.9867 0.2266  4 O 1.99-2.05
9 K 0.6421 0.2842 0.5655  7 O 2.68-2.94
10 K 0.3579 0.7158 0.4345  7 O 2.68-2.94
11 La 0.6505 0.3010 0.0840  7 O 2.36-2.62
12 La 0.3495 0.6990 0.9160  7 O 2.36-2.62

2.
DFT (GGA-PBEsol) results for a relaxed structure of Y2RuSe.

Formation energy (no corrections): -0.954 eV per atom
Theoretical density: 7.20 g/cm³
Crystal system: tetragonal
Total magnetization: 0.00 μB/f.u.

Cell lengths 3.4171, 3.4171, 7.0661 Å; angles 90.00, 90.00, 90.00 degrees
Last column: nearest neighbours and their distance in Å.
Positions (direct):
1 Ru 0.5000 0.5000 0.0000  8 Y 2.93
2 Y 0.0000 0.0000 0.2343  4 Ru 2.93, 4 Se 3.06
3 Y 0.0000 0.0000 0.7657  4 Ru 2.93, 4 Se 3.06
4 Se 0.5000 0.5000 0.5000  8 Y 3.06, 4 Se 3.42

Copy entry 1 word for word.
DFT (GGA-PBEsol) results for a relaxed structure of KLaPdO3.

Formation energy (no corrections): -2.012 eV per atom
Theoretical density: 5.86 g/cm³
Crystal system: monoclinic
Total magnetization: 0.00 μB/f.u.

Cell lengths 3.9499, 6.9472, 7.4390 Å; angles 104.88, 90.00, 106.52 degrees
Last column: nearest neighbours and their distance in Å.
Positions (direct):
1 O 0.5073 0.0147 0.8065  2 Pd 1.99
2 O 0.1664 0.3328 0.8622  1 Pd 2.05
3 O 0.4927 0.9853 0.1935  2 Pd 1.99
4 O 0.1510 0.3021 0.2861  1 Pd 2.03
5 O 0.8490 0.6979 0.7139  1 Pd 2.03
6 O 0.8336 0.6672 0.1378  1 Pd 2.05
7 Pd 0.0067 0.0133 0.7734  4 O 1.99-2.05
8 Pd 0.9933 0.9867 0.2266  4 O 1.99-2.05
9 K 0.6421 0.2842 0.5655  7 O 2.68-2.94
10 K 0.3579 0.7158 0.4345  7 O 2.68-2.94
11 La 0.6505 0.3010 0.0840  7 O 2.36-2.62
12 La 0.3495 0.6990 0.9160  7 O 2.36-2.62

Which of these has the highest theoretical density? Y2RuSe

Which formula does entry 1 have? KLaPdO3

Please write out number 1 again, unchanged.
DFT (GGA-PBEsol) results for a relaxed structure of KLaPdO3.

Formation energy (no corrections): -2.012 eV per atom
Theoretical density: 5.86 g/cm³
Crystal system: monoclinic
Total magnetization: 0.00 μB/f.u.

Cell lengths 3.9499, 6.9472, 7.4390 Å; angles 104.88, 90.00, 106.52 degrees
Last column: nearest neighbours and their distance in Å.
Positions (direct):
1 O 0.5073 0.0147 0.8065  2 Pd 1.99
2 O 0.1664 0.3328 0.8622  1 Pd 2.05
3 O 0.4927 0.9853 0.1935  2 Pd 1.99
4 O 0.1510 0.3021 0.2861  1 Pd 2.03
5 O 0.8490 0.6979 0.7139  1 Pd 2.03
6 O 0.8336 0.6672 0.1378  1 Pd 2.05
7 Pd 0.0067 0.0133 0.7734  4 O 1.99-2.05
8 Pd 0.9933 0.9867 0.2266  4 O 1.99-2.05
9 K 0.6421 0.2842 0.5655  7 O 2.68-2.94
10 K 0.3579 0.7158 0.4345  7 O 2.68-2.94
11 La 0.6505 0.3010 0.0840  7 O 2.36-2.62
12 La 0.3495 0.6990 0.9160  7 O 2.36-2.62